# UMn2MoO8 | Alexandria | PBE+U | optimized geometry
# DFT total energy	-8.225	eV per atom
# theoretical density	6.23	g/cm3
# symmetry	Cmmm, No. 65
data_UMn2MoO8
_chemical_formula_sum 'U1 Mn2 Mo1 O8'
_space_group_name_H-M_alt 'P 1'
_space_group_IT_number 1
_cell_length_a 4.8301
_cell_length_b 4.8301
_cell_length_c 6.5406
_cell_angle_alpha 90.00
_cell_angle_beta 90.00
_cell_angle_gamma 92.10
loop_
_space_group_symop_operation_xyz
'x,y,z'
loop_
_atom_site_label
_atom_site_type_symbol
_atom_site_fract_x
_atom_site_fract_y
_atom_site_fract_z
_atom_site_occupancy
U1 U 0.0000 0.0000 0.0000 1
Mn1 Mn 0.5000 0.5000 0.2625 1
Mn2 Mn 0.5000 0.5000 0.7375 1
Mo1 Mo 0.0000 0.0000 0.5000 1
O1 O 0.1861 0.8139 0.2660 1
O2 O 0.1861 0.8139 0.7340 1
O3 O 0.2827 0.2827 0.5000 1
O4 O 0.2942 0.2942 0.0000 1
O5 O 0.7058 0.7058 0.0000 1
O6 O 0.7173 0.7173 0.5000 1
O7 O 0.8139 0.1861 0.2660 1
O8 O 0.8139 0.1861 0.7340 1

---

# Li2MnGaO4 | Alexandria | PBE+U | optimized geometry
# DFT total energy	-6.017	eV per atom
# theoretical density	4.65	g/cm3
# symmetry	P2/m, No. 10
data_Li2MnGaO4
_chemical_formula_sum 'Li2 Mn1 Ga1 O4'
_space_group_name_H-M_alt 'P 1'
_space_group_IT_number 1
_cell_length_a 5.0952
_cell_length_b 2.9283
_cell_length_c 5.1454
_cell_angle_alpha 90.00
_cell_angle_beta 109.57
_cell_angle_gamma 90.00
loop_
_space_group_symop_operation_xyz
'x,y,z'
loop_
_atom_site_label
_atom_site_type_symbol
_atom_site_fract_x
_atom_site_fract_y
_atom_site_fract_z
_atom_site_occupancy
Li1 Li 0.0000 0.0000 0.0000 1
Li2 Li 0.5000 0.5000 0.0000 1
Mn1 Mn 0.0000 0.5000 0.5000 1
Ga1 Ga 0.5000 0.0000 0.5000 1
O1 O 0.2379 0.0000 0.7215 1
O2 O 0.2575 0.5000 0.2735 1
O3 O 0.7425 0.5000 0.7265 1
O4 O 0.7621 0.0000 0.2785 1

---

Which formula does entry 2 have? Li2MnGaO4

---

Among the records above, which one has the highest theoretical density? UMn2MoO8

---

The lowest DFT total energy belongs to which entry? UMn2MoO8

---

Which value of theoretical density does entry 2 give? 4.65 g/cm3